First-principles (PBE-GGA) data for a relaxed CuGe2PbSe6 crystal, as listed in the Alexandria database.

Geometry as POSCAR:
```
CuGe2PbSe6
1.0
6.729 -6.228 0.000
6.729 6.228 0.000
-2.483 0.000 6.633
Cu Ge Pb Se
2 4 2 12
direct
0.213 0.787 0.750
0.787 0.213 0.250
0.226 0.375 0.297
0.375 0.226 0.797
0.625 0.774 0.203
0.774 0.625 0.703
0.147 0.853 0.250
0.853 0.147 0.750
0.043 0.175 0.172
0.107 0.607 0.441
0.175 0.043 0.672
0.297 0.446 0.026
0.393 0.893 0.059
0.446 0.297 0.526
0.554 0.703 0.474
0.607 0.107 0.941
0.703 0.554 0.974
0.825 0.957 0.328
0.893 0.393 0.559
0.957 0.825 0.828
```

Properties
Formation energy without anion corrections = -0.205 eV per atom
V = 278.0 Å³/f.u.
Space-group type = No. 15
Calculated density = 5.3 Mg/m³

***

First-principles (PBE-GGA) data for a relaxed Cu2GePbSe4 crystal, as listed in the Alexandria database.

Geometry as POSCAR:
```
Cu2GePbSe4
1.0
0.000 4.410 5.256
4.404 0.000 5.256
4.404 4.410 0.000
Cu Ge Pb Se
2 1 1 4
direct
0.000 0.000 0.500
0.500 0.500 0.000
0.250 0.250 0.750
0.750 0.750 0.250
0.186 0.610 0.814
0.314 0.890 0.110
0.610 0.186 0.390
0.890 0.314 0.686
```

Properties
Formation energy without anion corrections = -0.264 eV per atom
V = 204.2 Å³/f.u.
Space-group type = No. 42
Calculated density = 5.9 Mg/m³

***

First-principles (PBE-GGA) data for a relaxed CuSi2GePb crystal, as listed in the Alexandria database.

Geometry as POSCAR:
```
CuSi2GePb
1.0
4.680 0.000 0.000
0.000 4.680 0.000
0.000 0.000 5.761
Cu Si Ge Pb
1 2 1 1
direct
0.000 0.000 0.000
0.000 0.500 0.500
0.500 0.000 0.500
0.500 0.500 0.500
0.500 0.500 0.000
```

Properties
Formation energy without anion corrections = 1.084 eV per atom
V = 126.2 Å³/f.u.
Space-group type = No. 123
Calculated density = 5.3 Mg/m³

***

First-principles (PBE-GGA) data for a relaxed TaCuGe2Pb crystal, as listed in the Alexandria database.

Geometry as POSCAR:
```
TaCuGe2Pb
1.0
5.013 0.000 0.000
0.000 5.013 0.000
0.000 0.000 5.522
Ta Cu Ge Pb
1 1 2 1
direct
0.000 0.000 0.000
0.500 0.500 0.500
0.000 0.500 0.000
0.500 0.000 0.000
0.000 0.000 0.500
```

Properties
Formation energy from the elements = 0.79 eV per atom
V = 138.8 Å³/f.u.
Space-group type = No. 123
Calculated density = 7.1 Mg/m³

***

First-principles (PBE-GGA) data for a relaxed CuGe2TePb crystal, as listed in the Alexandria database.

Geometry as POSCAR:
```
CuGe2TePb
1.0
5.649 0.000 0.000
0.000 5.649 0.000
0.000 0.000 4.942
Cu Ge Te Pb
1 2 1 1
direct
0.000 0.000 0.000
0.000 0.500 0.500
0.500 0.000 0.500
0.500 0.500 0.000
0.000 0.000 0.500
```

Properties
Formation energy without anion corrections = 0.812 eV per atom
V = 157.7 Å³/f.u.
Space-group type = No. 123
Calculated density = 5.7 Mg/m³

***

First-principles (PBE-GGA) data for a relaxed CuGeTe3Pb crystal, as listed in the Alexandria database.

Geometry as POSCAR:
```
CuGeTe3Pb
1.0
9.129 0.000 0.000
0.000 4.178 0.000
-2.392 0.000 9.064
Cu Ge Te Pb
2 2 6 2
direct
0.069 0.250 0.058
0.931 0.750 0.942
0.344 0.750 0.364
0.656 0.250 0.636
0.112 0.250 0.359
0.230 0.750 0.025
0.446 0.750 0.676
0.554 0.250 0.324
0.770 0.250 0.975
0.888 0.750 0.641
0.177 0.250 0.715
0.823 0.750 0.285
```

Properties
Formation energy without anion corrections = -0.132 eV per atom
V = 172.9 Å³/f.u.
Space-group type = No. 11
Calculated density = 7.0 Mg/m³

***

First-principles (PBE-GGA) data for a relaxed CuGePd4 crystal, as listed in the Alexandria database.

Geometry as POSCAR:
```
CuGePd4
1.0
5.152 0.000 0.000
0.000 7.652 0.000
-1.908 0.000 4.564
Cu Ge Pd
2 2 8
direct
0.000 0.000 0.000
0.000 0.500 0.500
0.500 0.000 0.500
0.500 0.500 0.000
0.115 0.161 0.584
0.115 0.339 0.084
0.394 0.666 0.391
0.394 0.834 0.891
0.606 0.166 0.109
0.606 0.334 0.609
0.885 0.661 0.916
0.885 0.839 0.416
```

Properties
Formation energy from the elements = -0.25 eV per atom
V = 90.0 Å³/f.u.
Space-group type = No. 14
ΔE to the lowest computed polymorph = 15 meV/atom
Calculated density = 10.4 Mg/m³

***

First-principles (PBE-GGA) data for a relaxed Cu2GePd crystal, as listed in the Alexandria database.

Geometry as POSCAR:
```
Cu2GePd
1.0
-1.835 1.939 3.847
1.835 -1.939 3.847
1.835 1.939 -3.847
Cu Ge Pd
2 1 1
direct
0.000 0.000 0.000
0.744 0.244 0.500
0.503 0.503 0.000
0.257 0.757 0.500
```

Properties
Formation energy from the elements = -0.16 eV per atom
V = 54.8 Å³/f.u.
Space-group type = No. 44
Calculated density = 9.3 Mg/m³

***

First-principles (PBE-GGA) data for a relaxed CuGe2Pd crystal, as listed in the Alexandria database.

Geometry as POSCAR:
```
CuGe2Pd
1.0
0.000 3.154 3.154
3.154 0.000 3.154
3.154 3.154 0.000
Cu Ge Pd
1 2 1
direct
0.000 0.000 0.000
0.250 0.250 0.250
0.750 0.750 0.750
0.500 0.500 0.500
```

Properties
Formation energy from the elements = -0.03 eV per atom
V = 62.8 Å³/f.u.
Space-group type = No. 225
ΔE to the lowest computed polymorph = 38 meV/atom
Calculated density = 8.3 Mg/m³

***

First-principles (PBE-GGA) data for a relaxed CuGePd6 crystal, as listed in the Alexandria database.

Geometry as POSCAR:
```
CuGePd6
1.0
4.898 0.000 0.000
-0.554 5.010 0.000
-0.383 -0.440 5.132
Cu Ge Pd
1 1 6
direct
0.000 0.000 0.000
0.500 0.500 0.500
0.067 0.546 0.255
0.260 0.071 0.566
0.468 0.742 0.921
0.532 0.258 0.079
0.740 0.929 0.434
0.933 0.454 0.745
```

Properties
Formation energy from the elements = -0.13 eV per atom
V = 125.9 Å³/f.u.
Space-group type = No. 2
Calculated density = 10.2 Mg/m³

***

First-principles (PBE-GGA) data for a relaxed Cu5Ge2Pd crystal, as listed in the Alexandria database.

Geometry as POSCAR:
```
Cu5Ge2Pd
1.0
5.332 0.000 0.000
0.000 10.495 0.000
0.000 0.000 3.806
Cu Ge Pd
10 4 2
direct
0.000 0.000 0.000
0.007 0.245 0.000
0.238 0.869 0.500
0.262 0.369 0.500
0.493 0.745 0.000
0.500 0.500 0.000
0.507 0.255 0.000
0.738 0.631 0.500
0.762 0.131 0.500
0.993 0.755 0.000
0.248 0.623 0.500
0.252 0.123 0.500
0.748 0.877 0.500
0.752 0.377 0.500
0.000 0.500 0.000
0.500 0.000 0.000
```

Properties
Formation energy from the elements = -0.06 eV per atom
V = 106.5 Å³/f.u.
Space-group type = No. 55
Calculated density = 8.9 Mg/m³

***

First-principles (PBE-GGA) data for a relaxed CuGe2Pd4 crystal, as listed in the Alexandria database.

Geometry as POSCAR:
```
CuGe2Pd4
1.0
2.034 1.174 8.128
-2.034 1.174 8.128
0.000 -2.348 8.128
Cu Ge Pd
1 2 4
direct
0.000 0.000 0.000
0.098 0.098 0.098
0.902 0.902 0.902
0.203 0.203 0.203
0.385 0.385 0.385
0.615 0.615 0.615
0.797 0.797 0.797
```

Properties
Formation energy from the elements = -0.27 eV per atom
V = 116.5 Å³/f.u.
Space-group type = No. 166
ΔE to the lowest computed polymorph = 0 meV/atom
Calculated density = 9.0 Mg/m³

***

First-principles (PBE-GGA) data for a relaxed CuGePd4 crystal, as listed in the Alexandria database.

Geometry as POSCAR:
```
CuGePd4
1.0
7.260 0.000 0.000
0.000 2.925 0.000
0.000 0.000 16.820
Cu Ge Pd
4 4 16
direct
0.247 0.250 0.057
0.253 0.750 0.557
0.747 0.250 0.443
0.753 0.750 0.943
0.239 0.250 0.814
0.261 0.750 0.314
0.739 0.250 0.686
0.761 0.750 0.186
0.044 0.750 0.431
0.060 0.750 0.706
0.115 0.750 0.172
0.115 0.750 0.937
0.385 0.250 0.437
0.385 0.250 0.672
0.440 0.250 0.206
0.456 0.250 0.931
0.544 0.750 0.069
0.560 0.750 0.794
0.615 0.750 0.328
0.615 0.750 0.563
0.885 0.250 0.063
0.885 0.250 0.828
0.940 0.250 0.294
0.956 0.250 0.569
```

Properties
Formation energy from the elements = -0.26 eV per atom
V = 89.3 Å³/f.u.
Space-group type = No. 62
ΔE to the lowest computed polymorph = 0 meV/atom
Calculated density = 10.4 Mg/m³

***

First-principles (PBE-GGA) data for a relaxed CuGePd14 crystal, as listed in the Alexandria database.

Geometry as POSCAR:
```
CuGePd14
1.0
9.082 0.000 0.000
0.000 2.828 4.745
0.000 -2.828 4.745
Cu Ge Pd
1 1 14
direct
0.000 0.000 0.000
0.000 0.499 0.499
0.000 0.010 0.507
0.000 0.507 0.010
0.235 0.317 0.811
0.235 0.811 0.317
0.251 0.817 0.817
0.253 0.314 0.314
0.500 0.138 0.138
0.500 0.141 0.641
0.500 0.640 0.640
0.500 0.641 0.141
0.747 0.314 0.314
0.749 0.817 0.817
0.765 0.317 0.811
0.765 0.811 0.317
```

Properties
Formation energy from the elements = -0.10 eV per atom
V = 243.8 Å³/f.u.
Space-group type = No. 38
Calculated density = 11.1 Mg/m³

***

First-principles (PBE-GGA) data for a relaxed Cu5Ge2Pd12 crystal, as listed in the Alexandria database.

Geometry as POSCAR:
```
Cu5Ge2Pd12
1.0
6.136 -4.157 0.000
6.136 4.157 0.000
-0.346 0.000 5.600
Cu Ge Pd
5 2 12
direct
0.000 0.000 0.000
0.235 0.235 0.014
0.321 0.321 0.603
0.679 0.679 0.397
0.765 0.765 0.986
0.245 0.755 0.500
0.755 0.245 0.500
0.061 0.558 0.302
0.117 0.117 0.412
0.167 0.631 0.880
0.369 0.833 0.120
0.442 0.939 0.698
0.455 0.455 0.241
0.545 0.545 0.759
0.558 0.061 0.302
0.631 0.167 0.880
0.833 0.369 0.120
0.883 0.883 0.588
0.939 0.442 0.698
```

Properties
Formation energy from the elements = -0.16 eV per atom
V = 285.7 Å³/f.u.
Space-group type = No. 12
Calculated density = 10.1 Mg/m³

***

First-principles (PBE-GGA) data for a relaxed CuGe2Pd crystal, as listed in the Alexandria database.

Geometry as POSCAR:
```
CuGe2Pd
1.0
-3.518 3.518 2.727
3.518 -3.518 2.727
3.518 3.518 -2.727
Cu Ge Pd
2 4 2
direct
0.000 0.000 0.000
0.750 0.250 0.500
0.118 0.625 0.993
0.375 0.368 0.493
0.632 0.125 0.007
0.875 0.882 0.507
0.250 0.750 0.500
0.500 0.500 0.000
```

Properties
Formation energy from the elements = 0.11 eV per atom
V = 67.5 Å³/f.u.
Space-group type = No. 122
ΔE to the lowest computed polymorph = 181 meV/atom
Calculated density = 7.8 Mg/m³

***

First-principles (PBE-GGA) data for a relaxed Cu8GePd6 crystal, as listed in the Alexandria database.

Geometry as POSCAR:
```
Cu8GePd6
1.0
3.480 2.009 5.276
-3.480 2.009 5.276
0.000 -4.018 5.276
Cu Ge Pd
8 1 6
direct
0.041 0.687 0.377
0.249 0.249 0.249
0.313 0.623 0.959
0.377 0.041 0.687
0.623 0.959 0.313
0.687 0.377 0.041
0.751 0.751 0.751
0.959 0.313 0.623
0.500 0.500 0.500
0.143 0.391 0.837
0.163 0.857 0.609
0.391 0.837 0.143
0.609 0.163 0.857
0.837 0.143 0.391
0.857 0.609 0.163
```

Properties
Formation energy from the elements = 0.01 eV per atom
V = 221.3 Å³/f.u.
Space-group type = No. 148
Calculated density = 9.1 Mg/m³

***

First-principles (PBE-GGA) data for a relaxed CuGe2Pd3 crystal, as listed in the Alexandria database.

Geometry as POSCAR:
```
CuGe2Pd3
1.0
-2.618 6.523 2.705
2.618 -6.523 2.705
2.618 6.523 -2.705
Cu Ge Pd
2 4 6
direct
0.250 0.250 0.000
0.750 0.750 0.000
0.134 0.745 0.879
0.366 0.245 0.611
0.634 0.755 0.389
0.866 0.255 0.121
0.178 0.234 0.411
0.250 0.750 0.500
0.322 0.734 0.056
0.678 0.266 0.944
0.750 0.250 0.500
0.822 0.766 0.589
```

Properties
Formation energy from the elements = -0.34 eV per atom
V = 92.4 Å³/f.u.
Space-group type = No. 72
Calculated density = 9.5 Mg/m³

***

First-principles (PBE-GGA) data for a relaxed CuGe4Pd5 crystal, as listed in the Alexandria database.

Geometry as POSCAR:
```
CuGe4Pd5
1.0
7.527 0.000 0.000
0.000 7.811 0.000
0.000 0.000 5.582
Cu Ge Pd
2 8 10
direct
0.250 0.250 0.022
0.750 0.750 0.978
0.069 0.250 0.388
0.250 0.585 0.056
0.250 0.915 0.056
0.431 0.250 0.388
0.569 0.750 0.612
0.750 0.085 0.944
0.750 0.415 0.944
0.931 0.750 0.612
0.051 0.045 0.742
0.051 0.455 0.742
0.250 0.750 0.468
0.449 0.045 0.742
0.449 0.455 0.742
0.551 0.545 0.258
0.551 0.955 0.258
0.750 0.250 0.532
0.949 0.545 0.258
0.949 0.955 0.258
```

Properties
Formation energy from the elements = -0.31 eV per atom
V = 164.1 Å³/f.u.
Space-group type = No. 59
Calculated density = 9.0 Mg/m³

***

First-principles (PBE-GGA) data for a relaxed Cu7Ge2Pd2 crystal, as listed in the Alexandria database.

Geometry as POSCAR:
```
Cu7Ge2Pd2
1.0
4.159 -4.343 0.000
4.159 4.343 0.000
-1.757 0.000 4.174
Cu Ge Pd
7 2 2
direct
0.000 0.000 0.000
0.068 0.597 0.836
0.403 0.932 0.164
0.411 0.411 0.201
0.589 0.589 0.799
0.597 0.068 0.836
0.932 0.403 0.164
0.244 0.756 0.500
0.756 0.244 0.500
0.196 0.196 0.602
0.804 0.804 0.398
```

Properties
Formation energy from the elements = -0.01 eV per atom
V = 150.8 Å³/f.u.
Space-group type = No. 12
Calculated density = 8.8 Mg/m³